ScTi2Pd9 | PBE-GGA | optimized geometry

a = 3.9514 Å, b = 3.9514 Å, c = 11.8607 Å
α = 90.00°, β = 90.00°, γ = 90.00°
Last column: nearest neighbours and their distance in Å.
Element x y z (fractional)
1 Sc 0.0000 0.0000 0.0000  12 Pd 2.79-2.85
2 Ti 0.0000 0.0000 0.3327  12 Pd 2.73-2.80
3 Ti 0.0000 0.0000 0.6673  12 Pd 2.73-2.80
4 Pd 0.0000 0.5000 0.1737  2 Ti 2.73, 8 Pd 2.76-2.85, 2 Sc 2.85
5 Pd 0.0000 0.5000 0.5000  8 Pd 2.77-2.79, 4 Ti 2.80
6 Pd 0.0000 0.5000 0.8263  2 Ti 2.73, 8 Pd 2.76-2.85, 2 Sc 2.85
7 Pd 0.5000 0.0000 0.1737  2 Ti 2.73, 8 Pd 2.76-2.85, 2 Sc 2.85
8 Pd 0.5000 0.0000 0.5000  8 Pd 2.77-2.79, 4 Ti 2.80
9 Pd 0.5000 0.0000 0.8263  2 Ti 2.73, 8 Pd 2.76-2.85, 2 Sc 2.85
10 Pd 0.5000 0.5000 0.0000  4 Sc 2.79, 8 Pd 2.85
11 Pd 0.5000 0.5000 0.3367  8 Pd 2.76-2.77, 4 Ti 2.79
12 Pd 0.5000 0.5000 0.6633  8 Pd 2.76-2.77, 4 Ti 2.79

Calculated values
- Crystal system: tetragonal
- D(E_F): 2.781 states/eV/f.u.
- Energy relative to the elements: -8.73 eV/f.u.
- Total energy: -6.47 eV/atom

***

Mo3OsRh | PBE-GGA | optimized geometry

a = 4.6756 Å, b = 4.6756 Å, c = 4.6756 Å
α = 90.00°, β = 90.00°, γ = 90.00°
Last column: nearest neighbours and their distance in Å.
Element x y z (fractional)
1 Mo 0.0000 0.0000 0.5000  2 Os 2.34
2 Mo 0.0000 0.5000 0.0000  2 Os 2.34
3 Mo 0.5000 0.0000 0.0000  2 Os 2.34
4 Os 0.0000 0.0000 0.0000  6 Mo 2.34
5 Rh 0.5000 0.5000 0.5000  12 Mo 3.31

Calculated values
- Crystal system: cubic
- D(E_F): 6.346 states/eV/f.u.
- Energy relative to the elements: 8.54 eV/f.u.
- Total energy: -8.51 eV/atom
- ΔE to the lowest computed polymorph: 0.0 meV per atom

***

CdSeBr | PBE-GGA | optimized geometry

a = 4.1446 Å, b = 4.1446 Å, c = 11.5879 Å
α = 92.31°, β = 92.31°, γ = 65.97°
Last column: nearest neighbours and their distance in Å.
Element x y z (fractional)
1 Cd 0.1886 0.1886 0.2863  3 Se 2.74-2.83, 3 Br 2.82-2.94
2 Cd 0.8114 0.8114 0.7137  3 Se 2.74-2.83, 3 Br 2.82-2.94
3 Se 0.4579 0.4579 0.5989  1 Se 2.39
4 Se 0.5421 0.5421 0.4011  1 Se 2.39
5 Br 0.1624 0.1624 0.8458  3 Cd 2.82-2.94
6 Br 0.8376 0.8376 0.1542  3 Cd 2.82-2.94

Calculated values
- Uncorrected formation energy: -0.545 eV per atom
- Crystal system: monoclinic
- Total energy: -2.57 eV/atom
- ΔE to the lowest computed polymorph: 7.4 meV per atom

***

Ca2Zr | PBE-GGA | optimized geometry

a = 6.4863 Å, b = 6.4863 Å, c = 9.8595 Å
α = 111.32°, β = 111.32°, γ = 31.35°
Last column: nearest neighbours and their distance in Å.
Element x y z (fractional)
1 Ca 0.0042 0.0042 0.1915  5 Zr 3.44-3.53, 3 Ca 3.50-3.74
2 Ca 0.3412 0.3412 0.4123  2 Zr 3.45, 5 Ca 3.50-3.77
3 Ca 0.6588 0.6588 0.5877  2 Zr 3.45, 5 Ca 3.50-3.77
4 Ca 0.9958 0.9958 0.8085  5 Zr 3.44-3.53, 3 Ca 3.50-3.74
5 Zr 0.2913 0.2913 0.9087  2 Zr 2.96
6 Zr 0.7087 0.7087 0.0913  2 Zr 2.96

Calculated values
- Crystal system: monoclinic
- D(E_F): 3.978 states/eV/f.u.
- Energy relative to the elements: 0.72 eV/f.u.
- Total energy: -3.94 eV/atom
- ΔE to the lowest computed polymorph: 0.0 meV per atom

***

CsMoSe3 | PBE-GGA | optimized geometry

a = 5.6703 Å, b = 5.6703 Å, c = 5.6703 Å
α = 90.00°, β = 90.00°, γ = 90.00°
Last column: nearest neighbours and their distance in Å.
Element x y z (fractional)
1 Cs 0.0000 0.0000 0.0000  6 Se 2.84
2 Mo 0.5000 0.5000 0.5000  12 Se 4.01
3 Se 0.0000 0.0000 0.5000  2 Cs 2.84
4 Se 0.0000 0.5000 0.0000  2 Cs 2.84
5 Se 0.5000 0.0000 0.0000  2 Cs 2.84

Calculated values
- Uncorrected formation energy: 2.101 eV per atom
- Crystal system: cubic
- D(E_F): 11.767 states/eV/f.u.
- Total energy: -2.33 eV/atom
- ΔE to the lowest computed polymorph: 2660.1 meV per atom

***

no.,magnetization (μB per formula unit)
1,0.00
2,0.00
3,0.00
4,0.00
5,0.77